No. 1
Here is a PBEsol-optimized structure of CoSbTe2S from Alexandria. Energies are from meta-GGA SCAN.

Cell lengths 4.9090, 4.9090, 4.7994 Å; angles 90.00, 90.00, 90.00 degrees
With the nearest neighbours (Å) after each atom.
Fractional coordinates of all 5 atoms:
Co (0.0000, 0.0000, 0.0000)  2 Sb 2.40, 4 Te 2.45
Sb (0.0000, 0.0000, 0.5000)  2 Co 2.40
Te (0.0000, 0.5000, 0.0000)  2 Co 2.45
Te (0.5000, 0.0000, 0.0000)  2 Co 2.45
S (0.5000, 0.5000, 0.5000)  8 Te 3.43, 4 Sb 3.47

No. 2
Here is a PBEsol-optimized structure of CoSe2S from Alexandria. Energies are from meta-GGA SCAN.

Cell lengths 7.3112, 7.3112, 7.3112 Å; angles 27.88, 27.88, 27.88 degrees
With the nearest neighbours (Å) after each atom.
Fractional coordinates of all 4 atoms:
Co (0.0000, 0.0000, 0.0000)  6 Se 2.35
Se (0.3891, 0.3891, 0.3891)  1 S 2.34, 3 Co 2.35
Se (0.6109, 0.6109, 0.6109)  1 S 2.34, 3 Co 2.35
S (0.5000, 0.5000, 0.5000)  2 Se 2.34

No. 3
Here is a PBEsol-optimized structure of Co3Sn2S2 from Alexandria. Energies are from meta-GGA SCAN.

Cell lengths 5.2903, 5.2903, 5.2903 Å; angles 59.91, 59.91, 59.91 degrees
With the nearest neighbours (Å) after each atom.
Fractional coordinates of all 7 atoms:
Co (0.0000, 0.5000, 0.5000)  2 S 2.14
Co (0.5000, 0.0000, 0.5000)  2 S 2.14
Co (0.5000, 0.5000, 0.0000)  2 S 2.14
Sn (0.0000, 0.0000, 0.0000)  6 Co 2.64, 2 S 2.83
Sn (0.5000, 0.5000, 0.5000)  6 Co 2.65
S (0.2181, 0.2181, 0.2181)  3 Co 2.14
S (0.7819, 0.7819, 0.7819)  3 Co 2.14

No. 4
Here is a PBEsol-optimized structure of TaCoS2 from Alexandria. Energies are from meta-GGA SCAN.

Cell lengths 6.1727, 6.1727, 6.1727 Å; angles 129.61, 129.61, 74.03 degrees
With the nearest neighbours (Å) after each atom.
Fractional coordinates of all 8 atoms:
Ta (0.0000, 0.0000, 0.0000)  4 S 2.35
Ta (0.7500, 0.2500, 0.5000)  4 S 2.35
Co (0.2500, 0.7500, 0.5000)  4 S 2.12
Co (0.5000, 0.5000, 0.0000)  4 S 2.12
S (0.1610, 0.6250, 0.0360)  2 Co 2.12, 2 Ta 2.35
S (0.3750, 0.4110, 0.5360)  2 Co 2.12, 2 Ta 2.35
S (0.5890, 0.1250, 0.9640)  2 Co 2.12, 2 Ta 2.35
S (0.8750, 0.8390, 0.4640)  2 Co 2.12, 2 Ta 2.35

The following final energy values (in eV/atom) correspond, in order, to the records above: -27.15, -16.76, -20.72, -26.13.
The following calculated volume values (in Å³/cell) correspond, in order, to the records above: 115.7, 75.5, 104.5, 136.1.